## LaBiB2As (PBE)

Data for a relaxed structure of LaBiB2As.

## Properties
final energy = -4.0745 eV/atom
total magnetization = 0.00 μB/atom
ΔE_f = 1288 meV per atom

Unit cell a=4.6069 b=6.6296 c=4.6069 alpha=90.00 beta=90.00 gamma=90.00
Sites, in units of the cell vectors:
La 0.0000 0.5000 0.0000
Bi 0.0000 0.0000 0.0000
B 0.5000 0.0000 0.0000
B 0.0000 0.0000 0.5000
As 0.5000 0.5000 0.5000